(1)
Entry from Alexandria: an optimized crystal structure of BOsSe3 (PBE-GGA).

Cell lengths 4.297, 4.297, 4.297 Å; angles 90.00, 90.00, 90.00 degrees
Sites, in units of the cell vectors:
Se: 0.500 0.000 0.000
Se: 0.000 0.000 0.500
Se: 0.000 0.500 0.000
Os: 0.500 0.500 0.500
B: 0.000 0.000 0.000

Values from the calculation:
SG: No. 221

---

(2)
Entry from Alexandria: an optimized crystal structure of Tb2PmGa2Ag2 (PBE-GGA).

Cell lengths 4.649, 4.649, 9.383 Å; angles 75.66, 75.66, 60.00 degrees
Sites, in units of the cell vectors:
Tb: 0.874 0.874 0.379
Tb: 0.126 0.126 0.621
Pm: 0.000 0.000 0.000
Ga: 0.743 0.743 0.770
Ga: 0.257 0.257 0.230
Ag: 0.402 0.402 0.794
Ag: 0.598 0.598 0.206

Values from the calculation:
SG: No. 166

---

(3)
Entry from Alexandria: an optimized crystal structure of ErCd8Au6 (PBE-GGA).

Cell lengths 7.466, 7.466, 7.466 Å; angles 66.59, 66.59, 66.59 degrees
Sites, in units of the cell vectors:
Cd: 0.447 0.791 0.119
Cd: 0.209 0.881 0.553
Cd: 0.881 0.553 0.209
Cd: 0.119 0.447 0.791
Cd: 0.668 0.668 0.668
Cd: 0.332 0.332 0.332
Cd: 0.791 0.119 0.447
Cd: 0.553 0.209 0.881
Au: 0.714 0.390 0.054
Au: 0.946 0.286 0.610
Au: 0.054 0.714 0.390
Au: 0.286 0.610 0.946
Au: 0.610 0.946 0.286
Au: 0.390 0.054 0.714
Er: 0.000 0.000 0.000

Values from the calculation:
SG: No. 148

---

(4)
Entry from Alexandria: an optimized crystal structure of ScAgS2Cl (PBE-GGA).

Cell lengths 4.879, 4.879, 4.743 Å; angles 90.00, 90.00, 90.00 degrees
Last column: magnetic moment on the atom in μB.
Sites, in units of the cell vectors:
S: 0.000 0.500 0.000  -0.04
S: 0.500 0.000 0.000  -0.04
Ag: 0.000 0.000 0.000  -0.01
Cl: 0.000 0.000 0.500  -0.01
Sc: 0.500 0.500 0.500  0.29

Values from the calculation:
SG: No. 123

---

(5)
Entry from Alexandria: an optimized crystal structure of YSc2Tl (PBE-GGA).

Cell lengths 3.432, 3.432, 10.630 Å; angles 80.71, 80.71, 60.00 degrees
Last column: magnetic moment on the atom in μB.
Sites, in units of the cell vectors:
Sc: 0.254 0.254 0.237  -0.02
Sc: 0.079 0.079 0.763  0.14
Tl: 0.667 0.667 0.000  0.00
Y: 0.500 0.500 0.500  0.08

Values from the calculation:
SG: No. 160

---

(6)
Entry from Alexandria: an optimized crystal structure of RbSb4Au2 (PBE-GGA).

Cell lengths 4.602, 9.238, 9.238 Å; angles 90.00, 90.00, 90.00 degrees
Sites, in units of the cell vectors:
Rb: 0.000 0.500 0.500
Rb: 0.500 0.000 0.000
Sb: 0.000 0.914 0.680
Sb: 0.500 0.180 0.586
Sb: 0.000 0.680 0.914
Sb: 0.000 0.320 0.086
Sb: 0.500 0.820 0.414
Sb: 0.500 0.414 0.820
Sb: 0.000 0.086 0.320
Sb: 0.500 0.586 0.180
Au: 0.500 0.721 0.721
Au: 0.500 0.279 0.279
Au: 0.000 0.779 0.221
Au: 0.000 0.221 0.779

Values from the calculation:
SG: No. 136

---

(7)
Entry from Alexandria: an optimized crystal structure of Mg2BePb (PBE-GGA).

Cell lengths 4.904, 4.904, 5.584 Å; angles 77.29, 77.29, 40.54 degrees
Sites, in units of the cell vectors:
Mg: 0.518 0.518 0.458
Mg: 0.982 0.982 0.042
Pb: 0.750 0.750 0.750
Be: 0.250 0.250 0.250

Values from the calculation:
SG: No. 12

---

(8)
Entry from Alexandria: an optimized crystal structure of BaAg2HAu (PBE-GGA).

Cell lengths 5.174, 6.265, 5.174 Å; angles 90.00, 90.00, 90.00 degrees
Sites, in units of the cell vectors:
Au: 0.000 0.000 0.000
Ba: 0.000 0.500 0.000
Ag: 0.500 0.000 0.000
Ag: 0.000 0.000 0.500
H: 0.500 0.500 0.500

Values from the calculation:
SG: No. 123

---

(9)
Entry from Alexandria: an optimized crystal structure of Sm3Be2GaPt9 (PBE-GGA).

Cell lengths 5.814, 5.814, 9.388 Å; angles 90.00, 90.00, 120.00 degrees
Sites, in units of the cell vectors:
Pt: 0.329 0.165 0.701
Pt: 0.671 0.835 0.299
Pt: 0.835 0.165 0.701
Pt: 0.500 0.500 0.000
Pt: 0.835 0.671 0.701
Pt: 0.500 0.000 0.000
Pt: 0.000 0.500 0.000
Pt: 0.165 0.329 0.299
Pt: 0.165 0.835 0.299
Sm: 0.333 0.667 0.616
Sm: 0.000 0.000 0.000
Sm: 0.667 0.333 0.384
Ga: 0.000 0.000 0.500
Be: 0.333 0.667 0.151
Be: 0.667 0.333 0.849

Values from the calculation:
SG: No. 164

---

(10)
Entry from Alexandria: an optimized crystal structure of TiCoSb2Te (PBE-GGA).

Cell lengths 4.808, 4.808, 5.248 Å; angles 90.00, 90.00, 90.00 degrees
Sites, in units of the cell vectors:
Ti: 0.500 0.500 0.500
Te: 0.000 0.000 0.500
Sb: 0.500 0.000 0.000
Sb: 0.000 0.500 0.000
Co: 0.000 0.000 0.000

Values from the calculation:
SG: No. 123

---

Here are the calculated raw total energy numbers, same order: -22.36; -28.42; -35.54; -19.77; -21.77; -49.71; -9.45; -12.72; -91.50; -23.79 (eV/cell).